{"formula": "Ce2PmAl2", "functional": "GGA-PBE", "state": "optimized geometry", "lattice_angstrom": [[8.8577, 0.0000, 0.0000], [0.0000, 8.8577, 0.0000], [0.0000, 0.0000, 3.2804]], "species": ["Ce", "Ce", "Ce", "Ce", "Pm", "Pm", "Al", "Al", "Al", "Al"], "fractional_positions": [[0.1087, 0.3913, 0.0000], [0.3913, 0.8913, 0.0000], [0.6087, 0.1087, 0.0000], [0.8913, 0.6087, 0.0000], [0.0000, 0.0000, 0.0000], [0.5000, 0.5000, 0.0000], [0.1836, 0.6836, 0.5000], [0.3164, 0.1836, 0.5000], [0.6836, 0.8164, 0.5000], [0.8164, 0.3164, 0.5000]], "m_tot_mub_per_fu": 0.62, "sg": "P4/mbm, No. 127", "formation_energy_mev_per_atom": -167}



{"formula": "Y2ScTeH", "functional": "GGA-PBE", "state": "optimized geometry", "lattice_angstrom": [[6.0299, 0.0000, 0.0000], [0.0000, 6.0299, 0.0000], [0.0000, 0.0000, 3.7993]], "species": ["Y", "Y", "Sc", "Te", "H"], "fractional_positions": [[0.0000, 0.5000, 0.0000], [0.5000, 0.0000, 0.0000], [0.0000, 0.0000, 0.5000], [0.5000, 0.5000, 0.0000], [0.5000, 0.5000, 0.5000]], "m_tot_mub_per_fu": 0.00, "final_energy_ev_per_atom": -5.003, "sg": "P4/mmm, No. 123"}



{"formula": "TlTc2Sb", "functional": "GGA-PBE", "state": "optimized geometry", "lattice_angstrom": [[0.0000, 3.3567, 3.3567], [3.3567, 0.0000, 3.3567], [3.3567, 3.3567, 0.0000]], "species": ["Tl", "Tc", "Tc", "Sb"], "fractional_positions": [[0.0000, 0.0000, 0.0000], [0.5000, 0.5000, 0.5000], [0.7500, 0.7500, 0.7500], [0.2500, 0.2500, 0.2500]], "polymorph_energy_ev_per_atom": 0.564, "m_tot_mub_per_fu": 0.00, "sg": "F-43m, No. 216"}



{"formula": "KBaOsBr2", "functional": "GGA-PBE", "state": "optimized geometry", "lattice_angstrom": [[6.3712, 0.0000, 0.0000], [0.0000, 6.3712, 0.0000], [0.0000, 0.0000, 6.1950]], "species": ["K", "Ba", "Os", "Br", "Br"], "fractional_positions": [[0.0000, 0.0000, 0.0000], [0.5000, 0.5000, 0.5000], [0.5000, 0.5000, 0.0000], [0.0000, 0.5000, 0.5000], [0.5000, 0.0000, 0.5000]], "m_tot_mub_per_fu": 3.00, "final_energy_ev_per_atom": -3.527, "sg": "P4/mmm, No. 123"}



{"formula": "MgOsRh2", "functional": "GGA-PBE", "state": "optimized geometry", "lattice_angstrom": [[4.6107, -1.3839, 0.0000], [4.6107, 1.3839, 0.0000], [-0.8912, 0.0000, 4.6127]], "species": ["Mg", "Os", "Rh", "Rh"], "fractional_positions": [[0.0000, 0.0000, 0.0000], [0.2333, 0.2333, 0.6741], [0.4934, 0.4934, 0.5054], [0.7530, 0.7530, 0.1808]], "m_tot_mub_per_fu": 0.00, "sg": "Cm, No. 8", "formation_energy_mev_per_atom": -101}



{"formula": "Tb6NdSm3Ho2", "functional": "GGA-PBE", "state": "optimized geometry", "lattice_angstrom": [[3.1018, -5.3688, 0.0000], [3.1018, 5.3688, 0.0000], [-2.0584, 0.0000, 11.6877]], "species": ["Tb", "Tb", "Tb", "Tb", "Tb", "Tb", "Nd", "Sm", "Sm", "Sm", "Ho", "Ho"], "fractional_positions": [[0.0824, 0.4165, 0.7512], [0.2493, 0.2493, 0.2487], [0.4165, 0.0824, 0.7512], [0.5835, 0.9176, 0.2488], [0.7507, 0.7507, 0.7513], [0.9176, 0.5835, 0.2488], [0.5000, 0.5000, 0.0000], [0.0000, 0.0000, 0.5000], [0.3331, 0.6669, 0.5000], [0.6669, 0.3331, 0.5000], [0.1667, 0.8333, 0.0000], [0.8333, 0.1667, 0.0000]], "m_tot_mub_per_fu": 0.00, "sg": "C2/m, No. 12", "formation_energy_mev_per_atom": 14}



{"formula": "Ac4SiPtI2", "functional": "GGA-PBE", "state": "optimized geometry", "lattice_angstrom": [[8.1836, 0.0000, 0.0000], [0.0000, 4.4370, 0.0000], [-2.4409, 0.0000, 8.2625]], "species": ["Ac", "Ac", "Ac", "Ac", "Si", "Pt", "I", "I"], "fractional_positions": [[0.2177, 0.0000, 0.1869], [0.2644, 0.5000, 0.8002], [0.7356, 0.5000, 0.1998], [0.7823, 0.0000, 0.8131], [0.5000, 0.0000, 0.0000], [0.0000, 0.5000, 0.0000], [0.0000, 0.0000, 0.5000], [0.5000, 0.5000, 0.5000]], "m_tot_mub_per_fu": 0.00, "final_energy_ev_per_atom": -4.890, "sg": "P2/m, No. 10"}



{"formula": "K3Eu", "functional": "GGA-PBE", "state": "optimized geometry", "lattice_angstrom": [[-2.1359, 7.4291, 4.0154], [2.1359, -7.4291, 4.0154], [2.1359, 7.4291, -4.0154]], "species": ["K", "K", "K", "Eu"], "fractional_positions": [[0.0000, 0.0000, 0.0000], [0.0574, 0.3051, 0.7523], [0.5528, 0.3051, 0.2477], [0.5010, 0.0010, 0.5000]], "polymorph_energy_ev_per_atom": 0.006, "m_tot_mub_per_fu": 7.69, "sg": "Imm2, No. 44", "formation_energy_mev_per_atom": 153}



{"formula": "Cr2HgSb", "functional": "GGA-PBE", "state": "optimized geometry", "lattice_angstrom": [[5.1141, -1.8337, 0.0000], [5.1141, 1.8337, 0.0000], [-0.8077, 0.0000, 4.3060]], "species": ["Cr", "Cr", "Hg", "Sb"], "fractional_positions": [[0.0000, 0.0000, 0.0000], [0.2232, 0.2232, 0.6013], [0.7379, 0.7379, 0.1016], [0.4942, 0.4942, 0.5016]], "polymorph_energy_ev_per_atom": 0.178, "m_tot_mub_per_fu": 7.45, "sg": "Cm, No. 8"}



{"formula": "Rb4Tl5Pb", "functional": "GGA-PBE", "state": "optimized geometry", "lattice_angstrom": [[6.8501, 0.0000, 0.0000], [3.3697, 8.1343, 0.0000], [3.3808, 0.0034, 8.1324]], "species": ["Rb", "Rb", "Rb", "Rb", "Tl", "Tl", "Tl", "Tl", "Tl", "Pb"], "fractional_positions": [[0.0000, 0.0000, 0.0000], [0.0187, 0.4005, 0.5634], [0.2975, 0.4187, 0.9817], [0.7211, 0.9825, 0.5812], [0.3328, 0.7196, 0.6082], [0.3525, 0.0269, 0.2623], [0.6660, 0.3741, 0.2995], [0.6846, 0.6822, 0.9554], [0.7649, 0.7034, 0.2847], [0.2545, 0.6977, 0.2795]], "m_tot_mub_per_fu": 0.00, "sg": "P1, No. 1", "formation_energy_mev_per_atom": -71}



{"formula": "Ca2SmPuTe4", "functional": "GGA-PBE", "state": "optimized geometry", "lattice_angstrom": [[7.7208, 0.0000, 0.0000], [0.0000, 4.4565, 0.0000], [-2.5747, 0.0000, 7.3829]], "species": ["Ca", "Ca", "Sm", "Pu", "Te", "Te", "Te", "Te"], "fractional_positions": [[0.0000, 0.0000, 0.0000], [0.5000, 0.5000, 0.0000], [0.0000, 0.5000, 0.5000], [0.5000, 0.0000, 0.5000], [0.2496, 0.0000, 0.7507], [0.2496, 0.5000, 0.2498], [0.7504, 0.0000, 0.2493], [0.7504, 0.5000, 0.7502]], "m_tot_mub_per_fu": 6.09, "final_energy_ev_per_atom": -5.867, "sg": "P2/m, No. 10"}



{"formula": "Cs2Ce3ClF12", "functional": "GGA-PBE", "state": "optimized geometry", "lattice_angstrom": [[4.3539, 2.5138, 6.0924], [-4.3539, 2.5138, 6.0924], [0.0000, -5.0275, 6.0924]], "species": ["Cs", "Cs", "Ce", "Ce", "Ce", "Cl", "F", "F", "F", "F", "F", "F", "F", "F", "F", "F", "F", "F"], "fractional_positions": [[0.1058, 0.1058, 0.1058], [0.8942, 0.8942, 0.8942], [0.0000, 0.5000, 0.5000], [0.5000, 0.0000, 0.5000], [0.5000, 0.5000, 0.0000], [0.5000, 0.5000, 0.5000], [0.0129, 0.6550, 0.6550], [0.2097, 0.2097, 0.6182], [0.2097, 0.6182, 0.2097], [0.3450, 0.3450, 0.9871], [0.3450, 0.9871, 0.3450], [0.3818, 0.7903, 0.7903], [0.6182, 0.2097, 0.2097], [0.6550, 0.0129, 0.6550], [0.6550, 0.6550, 0.0129], [0.7903, 0.3818, 0.7903], [0.7903, 0.7903, 0.3818], [0.9871, 0.3450, 0.3450]], "m_tot_mub_per_fu": 1.02, "final_energy_ev_per_atom": -5.879, "sg": "R-3m, No. 166"}